Material: NaSm3Dy2Se6
Method: DFT, PBE
State: relaxed

The structure belongs to space group C2/m (No. 12); the cell edges are 7.140, 12.384 and 7.213 Å and the angles 90.00°, 109.37° and 90.00°. Symmetry generates all atoms from Na at (0.000, 0.000, 0.000), Sm at (0.000, 0.163, 0.500), Sm at (0.000, 0.500, 0.500), Dy at (0.000, 0.334, 0.000), Se at (0.246, 0.500, 0.238) and Se at (0.249, 0.168, 0.244).

The value obtained for the volume is 300.85 Å³/f.u. The calculation puts the raw formation energy at -1764 meV/atom.

Material: Na2SmDy3Se6
Method: DFT, PBE
State: relaxed

The structure belongs to space group C2/m (No. 12); the cell edges are 7.136, 12.347 and 7.229 Å and the angles 90.00°, 109.17° and 90.00°. Symmetry generates all atoms from Na at (0.000, 0.166, 0.000), Sm at (0.000, 0.500, 0.000), Dy at (0.000, 0.000, 0.500), Dy at (0.000, 0.332, 0.500), Se at (0.245, 0.500, 0.740) and Se at (0.248, 0.166, 0.743).

The value obtained for the volume is 300.78 Å³/f.u. The calculation puts the raw formation energy at -1726 meV/atom.

Material: NaDy2Sn3Se6
Method: DFT, PBE
State: relaxed

The structure belongs to space group C2/m (No. 12); the cell edges are 18.504, 4.092 and 8.982 Å and the angles 90.00°, 103.92° and 90.00°. Symmetry generates all atoms from Na at (0.000, 0.000, 0.000), Dy at (0.166, 0.500, 0.331), Sn at (0.000, 0.000, 0.500), Sn at (0.159, 0.500, 0.837), Se at (0.009, 0.500, 0.258), Se at (0.170, 0.000, 0.560) and Se at (0.175, 0.000, 0.110).

The value obtained for the volume is 330.09 Å³/f.u. The calculation puts the raw formation energy at -1004 meV/atom.

Material: Na4Dy3SnSe8
Method: DFT, PBE
State: relaxed

The structure belongs to space group R-3m (No. 166, hexagonal axes); the cell edges are 8.2974, 8.2974 and 21.0286 Å and the angles 90.00°, 90.00° and 120.00°. Symmetry generates all atoms from Na at (0.0000, 0.0000, 0.0000), Na at (0.0000, 0.5000, 0.0000), Dy at (0.0000, 0.5000, 0.5000), Sn at (0.0000, 0.0000, 0.5000), Se at (0.0000, 0.0000, 0.2432) and Se at (0.0003, 0.5002, 0.2428).

The value obtained for the volume is 417.92 Å³/f.u. The calculation puts the raw formation energy at -1447 meV/atom.

Material: NaDySn2Se4
Method: DFT, PBE
State: relaxed

The structure belongs to space group P2/m (No. 10); the cell edges are 7.281, 4.218 and 7.393 Å and the angles 90.00°, 108.45° and 90.00°. Symmetry generates all atoms from Na at (0.000, 0.000, 0.000), Dy at (0.500, 0.500, 0.000), Sn at (0.000, 0.500, 0.500), Sn at (0.500, 0.000, 0.500), Se at (0.260, 0.500, 0.243) and Se at (0.263, 0.000, 0.765).

The value obtained for the volume is 215.35 Å³/f.u. The calculation puts the raw formation energy at -1002 meV/atom.

Material: Na3TbDy2Se6
Method: DFT, PBE
State: relaxed

The structure belongs to space group C2/m (No. 12); the cell edges are 7.190, 12.454 and 7.407 Å and the angles 90.00°, 108.87° and 90.00°. Symmetry generates all atoms from Na at (0.000, 0.000, 0.000), Na at (0.000, 0.334, 0.000), Tb at (0.000, 0.500, 0.500), Dy at (0.000, 0.167, 0.500), Se at (0.242, 0.000, 0.730) and Se at (0.244, 0.333, 0.730).

The value obtained for the volume is 313.81 Å³/f.u. The calculation puts the raw formation energy at -1708 meV/atom.

Material: NaTb3Dy3Se8
Method: DFT, PBE
State: relaxed

The structure belongs to space group R-3m (No. 166, hexagonal axes); the cell edges are 8.1473, 8.1473 and 19.9664 Å and the angles 90.00°, 90.00° and 120.00°. Symmetry generates all atoms from Na at (0.0000, 0.0000, 0.0000), Tb at (0.0000, 0.5000, 0.5000), Dy at (0.0000, 0.5000, 0.0000), Se at (0.0000, 0.0000, 0.2505) and Se at (0.0067, 0.5034, 0.2489).

The value obtained for the volume is 382.62 Å³/f.u. The calculation puts the raw formation energy at -1784 meV/atom.

Material: NaTb3Dy4Se8
Method: DFT, PBE
State: relaxed

The structure belongs to space group R-3m (No. 166, hexagonal axes); the cell edges are 8.1844, 8.1844 and 20.0450 Å and the angles 90.00°, 90.00° and 120.00°. Symmetry generates all atoms from Na at (0.0000, 0.0000, 0.0000), Tb at (0.0000, 0.5000, 0.0000), Dy at (0.0000, 0.0000, 0.5000), Dy at (0.0000, 0.5000, 0.5000), Se at (0.0000, 0.0000, 0.2494) and Se at (0.0011, 0.5006, 0.7504).

The value obtained for the volume is 387.61 Å³/f.u. The calculation puts the raw formation energy at -1745 meV/atom.

Material: NaTb3Dy2Se6
Method: DFT, PBE
State: relaxed

The structure belongs to space group C2/m (No. 12); the cell edges are 17.891, 4.086 and 8.235 Å and the angles 90.00°, 103.32° and 90.00°. Symmetry generates all atoms from Na at (0.000, 0.000, 0.000), Tb at (0.000, 0.000, 0.500), Tb at (0.164, 0.500, 0.825), Dy at (0.168, 0.500, 0.341), Se at (0.002, 0.500, 0.252), Se at (0.166, 0.000, 0.583) and Se at (0.168, 0.000, 0.084).

The value obtained for the volume is 292.92 Å³/f.u. The calculation puts the raw formation energy at -1750 meV/atom.

Material: Na2TbDySe4
Method: DFT, PBE
State: relaxed

The structure belongs to space group P2/m (No. 10); the cell edges are 7.196, 4.155 and 7.405 Å and the angles 90.00°, 108.88° and 90.00°. Symmetry generates all atoms from Na at (0.000, 0.000, 0.000), Na at (0.500, 0.500, 0.000), Tb at (0.000, 0.500, 0.500), Dy at (0.500, 0.000, 0.500), Se at (0.244, 0.000, 0.730) and Se at (0.258, 0.500, 0.270).

The value obtained for the volume is 209.50 Å³/f.u. The calculation puts the raw formation energy at -1708 meV/atom.

Material: Na4Tb3DySe8
Method: DFT, PBE
State: relaxed

The structure belongs to space group R-3m (No. 166, hexagonal axes); the cell edges are 8.3180, 8.3180 and 21.0263 Å and the angles 90.00°, 90.00° and 120.00°. Symmetry generates all atoms from Na at (0.0000, 0.0000, 0.0000), Na at (0.0000, 0.5000, 0.0000), Tb at (0.0000, 0.5000, 0.5000), Dy at (0.0000, 0.0000, 0.5000), Se at (0.0000, 0.0000, 0.2435) and Se at (0.0011, 0.5005, 0.2433).

The value obtained for the volume is 419.96 Å³/f.u. The calculation puts the raw formation energy at -1708 meV/atom.

Material: Na4TbDy3Se8
Method: DFT, PBE
State: relaxed

The structure belongs to space group R-3m (No. 166, hexagonal axes); the cell edges are 8.3003, 8.3003 and 21.0238 Å and the angles 90.00°, 90.00° and 120.00°. Symmetry generates all atoms from Na at (0.0000, 0.0000, 0.0000), Na at (0.0000, 0.5000, 0.0000), Tb at (0.0000, 0.0000, 0.5000), Dy at (0.0000, 0.5000, 0.5000), Se at (0.0000, 0.0000, 0.2431) and Se at (0.0009, 0.5005, 0.7568).

The value obtained for the volume is 418.13 Å³/f.u. The calculation puts the raw formation energy at -1708 meV/atom.